First-principles (PBE-GGA) data for a geometry-optimized Ce2IN structure, as listed in Alexandria.

Lattice parameters (Å, degrees): 3.398 3.398 7.557 90.00 90.00 90.00
Space group P4/mmm (No. 123)
Inequivalent atoms, fractional coordinates:
Ce: 0.000 0.000 0.188
I: 0.500 0.500 0.500
N: 0.500 0.500 0.000

## Properties
Formation energy from raw total energies = -0.549 eV/atom
Density of states at the Fermi level = 9.94 states/eV/cell

***

First-principles (PBE-GGA) data for a geometry-optimized TmTlPd6 structure, as listed in Alexandria.

Lattice parameters (Å, degrees): 8.159 8.171 4.110 90.00 90.00 90.00
Space group Cmmm (No. 65)
Inequivalent atoms, fractional coordinates:
Tm: 0.000 0.000 0.000
Tl: 0.000 0.500 0.000
Pd: 0.000 0.249 0.500
Pd: 0.249 0.000 0.500
Pd: 0.250 0.250 0.000

## Properties
Relative energy among the computed polymorphs = 0 meV/atom
Energy of formation from the pure elements = -557.4 meV/atom
Density of states at the Fermi level = 12.05 states/eV/cell

***

First-principles (PBE-GGA) data for a geometry-optimized CsFe2PbSe structure, as listed in Alexandria.

Lattice parameters (Å, degrees): 4.839 4.839 6.735 90.00 90.00 90.00
Space group P4/mmm (No. 123)
Inequivalent atoms, fractional coordinates:
Cs: 0.000 0.000 0.000
Fe: 0.000 0.500 0.000
Pb: 0.000 0.000 0.500
Se: 0.500 0.500 0.500

## Properties
Formation energy from raw total energies = 1.997 eV/atom
Density of states at the Fermi level = 3.92 states/eV/cell

***

First-principles (PBE-GGA) data for a geometry-optimized LiHo3Se4 structure, as listed in Alexandria.

Lattice parameters (Å, degrees): 5.700 5.700 11.398 90.00 90.00 90.00
Space group I4/mmm (No. 139)
Inequivalent atoms, fractional coordinates:
Li: 0.000 0.000 0.000
Ho: 0.000 0.000 0.500
Ho: 0.000 0.500 0.250
Se: 0.000 0.000 0.243
Se: 0.000 0.500 0.000

## Properties
Relative energy among the computed polymorphs = 0 meV/atom
Formation energy from raw total energies = -1.734 eV/atom
Density of states at the Fermi level = 3.98 states/eV/cell

***

First-principles (PBE-GGA) data for a geometry-optimized Ag2Sb3 structure, as listed in Alexandria.

Lattice parameters (Å, degrees): 4.6312 4.6312 6.9263 90.00 90.00 120.00
Space group P-3m1 (No. 164)
Inequivalent atoms, fractional coordinates:
Ag: 0.3333 0.6667 0.3037
Sb: 0.0000 0.0000 0.5000
Sb: 0.3333 0.6667 0.8616

## Properties
Formation energy from raw total energies = 0.149 eV/atom
Density of states at the Fermi level = 0.74 states/eV/cell

***

First-principles (PBE-GGA) data for a geometry-optimized CaCr3Rh structure, as listed in Alexandria.

Lattice parameters (Å, degrees): 4.841 4.841 4.841 90.00 90.00 90.00
Space group Pm-3m (No. 221)
Inequivalent atoms, fractional coordinates:
Ca: 0.000 0.000 0.000
Cr: 0.000 0.500 0.500
Rh: 0.500 0.500 0.500

## Properties
Relative energy among the computed polymorphs = 0 meV/atom
Energy of formation from the pure elements = 887.2 meV/atom
Density of states at the Fermi level = 8.68 states/eV/cell

***

First-principles (PBE-GGA) data for a geometry-optimized NbTl2Cu2Te4 structure, as listed in Alexandria.

Lattice parameters (Å, degrees): 15.159 3.979 8.543 90.00 108.38 90.00
Space group C2/m (No. 12)
Inequivalent atoms, fractional coordinates:
Nb: 0.000 0.000 0.000
Tl: 0.135 0.000 0.556
Cu: 0.185 0.500 0.983
Te: 0.018 0.500 0.770
Te: 0.195 0.000 0.188

## Properties
Formation energy from raw total energies = -0.216 eV/atom
Density of states at the Fermi level = 7.79 states/eV/cell

***

First-principles (PBE-GGA) data for a geometry-optimized Ba2ZrTl structure, as listed in Alexandria.

Lattice parameters (Å, degrees): 6.984 10.828 3.677 90.00 90.00 90.00
Space group Cmmm (No. 65)
Inequivalent atoms, fractional coordinates:
Ba: 0.250 0.250 0.000
Zr: 0.000 0.000 0.500
Tl: 0.000 0.500 0.500

## Properties
Relative energy among the computed polymorphs = 181 meV/atom
Energy of formation from the pure elements = 314.8 meV/atom
Density of states at the Fermi level = 9.06 states/eV/cell

***

Question: The highest density of states at the Fermi level belongs to which entry?
Answer: TmTlPd6

***

Question: Which formula does entry 4 have?
Answer: LiHo3Se4

***

Question: Among the records above, which one has the lowest density of states at the Fermi level?
Answer: Ag2Sb3

***

Question: Which of these has the highest density of states at the Fermi level?
Answer: TmTlPd6